(1)
Crystalline Ac3Ni5C2 at its relaxed geometry. Source: Alexandria, functional PBE.

Output
Energy of formation from the pure elements   0.005 eV/atom
N(E_F)   0.79 states/eV per atom
Calculated volume   765.6 Å³ per cell
M_tot   0.0 Bohr magnetons per cell

Unit cell a=6.785 b=15.575 c=7.244 alpha=90.00 beta=90.00 gamma=90.00
Space group Ibam (No. 72)
Unique sites:
Ac  0.000  0.000  0.250 (multiplicity 4)
Ac  0.146  0.330  0.000 (multiplicity 8)
Ni  0.000  0.179  0.250 (multiplicity 8)
Ni  0.000  0.500  0.250 (multiplicity 4)
Ni  0.221  0.418  0.500 (multiplicity 8)
C  0.055  0.156  0.000 (multiplicity 8)



(2)
Crystalline AcHoSnBi at its relaxed geometry. Source: Alexandria, functional PBE.

Output
Energy of formation from the pure elements   -0.548 eV/atom
N(E_F)   1.19 states/eV per atom
Calculated volume   511.7 Å³ per cell
M_tot   0.0 Bohr magnetons per cell

Unit cell a=7.999 b=7.999 c=7.999 alpha=90.00 beta=90.00 gamma=90.00
Space group F-43m (No. 216)
Unique sites:
Ac  0.000  0.000  0.000 (multiplicity 4)
Ho  0.000  0.000  0.500 (multiplicity 4)
Sn  0.250  0.250  0.250 (multiplicity 4)
Bi  0.250  0.250  0.750 (multiplicity 4)



(3)
Crystalline CePa3 at its relaxed geometry. Source: Alexandria, functional PBE.

Output
Energy of formation from the pure elements   0.247 eV/atom
N(E_F)   3.30 states/eV per atom
Calculated volume   400.2 Å³ per cell
M_tot   0.0 Bohr magnetons per cell

Unit cell a=7.369 b=7.369 c=7.369 alpha=90.00 beta=90.00 gamma=90.00
Space group Fm-3m (No. 225)
Unique sites:
Ce  0.000  0.000  0.000 (multiplicity 4)
Pa  0.000  0.000  0.500 (multiplicity 4)
Pa  0.250  0.250  0.250 (multiplicity 8)



(4)
Crystalline RbAu2Br6 at its relaxed geometry. Source: Alexandria, functional PBE.

Output
Raw total energy   -86.6 eV/cell
N(E_F)   0.33 states/eV per atom
Calculated volume   1357.1 Å³ per cell
M_tot   0.0 Bohr magnetons per cell

Unit cell a=13.438 b=14.846 c=7.005 alpha=90.00 beta=103.79 gamma=90.00
Space group C2/c (No. 15)
Unique sites:
Rb  0.000  0.207  0.250 (multiplicity 4)
Au  0.249  0.073  0.743 (multiplicity 8)
Br  0.130  0.020  0.970 (multiplicity 8)
Br  0.135  0.345  0.982 (multiplicity 8)
Br  0.163  0.369  0.509 (multiplicity 8)